(1)
CdGa3Pd at its PBEsol-relaxed geometry, computed with SCAN.

```
data_CdGa3Pd
_chemical_formula_sum 'Cd1 Ga3 Pd1'
_symmetry_space_group_name_H-M 'P 1'
_symmetry_Int_Tables_number 1
_cell_length_a 4.919
_cell_length_b 4.919
_cell_length_c 4.919
_cell_angle_alpha 90.00
_cell_angle_beta 90.00
_cell_angle_gamma 90.00
loop_
_symmetry_equiv_pos_as_xyz
'x,y,z'
loop_
_atom_site_label
_atom_site_type_symbol
_atom_site_fract_x
_atom_site_fract_y
_atom_site_fract_z
_atom_site_occupancy
Ga1 Ga 0.000 0.500 0.000 1
Ga2 Ga 0.000 0.000 0.500 1
Ga3 Ga 0.500 0.000 0.000 1
Pd1 Pd 0.500 0.500 0.500 1
Cd1 Cd 0.000 0.000 0.000 1
```

## Properties
Calculated density (Mg/m³): 5.97
Symmetry: Pm-3m, No. 221
Formation energy (meV/atom): 802
Total DFT energy (no corrections) (eV per atom): -21.64

=====

(2)
BaNaP2O at its PBEsol-relaxed geometry, computed with SCAN.

```
data_BaNaP2O
_chemical_formula_sum 'Ba1 Na1 P2 O1'
_symmetry_space_group_name_H-M 'P 1'
_symmetry_Int_Tables_number 1
_cell_length_a 4.531
_cell_length_b 4.932
_cell_length_c 4.932
_cell_angle_alpha 90.00
_cell_angle_beta 90.00
_cell_angle_gamma 90.00
loop_
_symmetry_equiv_pos_as_xyz
'x,y,z'
loop_
_atom_site_label
_atom_site_type_symbol
_atom_site_fract_x
_atom_site_fract_y
_atom_site_fract_z
_atom_site_occupancy
P1 P 0.000 0.000 0.500 1
P2 P 0.000 0.500 0.000 1
Ba1 Ba 0.500 0.500 0.500 1
O1 O 0.500 0.000 0.000 1
Na1 Na 0.000 0.000 0.000 1
```

## Properties
Calculated density (Mg/m³): 3.59
Symmetry: P4/mmm, No. 123
Total DFT energy (no corrections) (eV per atom): -14.10
Formation energy (no corrections) (meV per atom): 59

=====

(3)
SbICl8 at its PBEsol-relaxed geometry, computed with SCAN.

```
data_SbICl8
_chemical_formula_sum 'Sb4 I4 Cl32'
_symmetry_space_group_name_H-M 'P 1'
_symmetry_Int_Tables_number 1
_cell_length_a 7.123
_cell_length_b 7.123
_cell_length_c 23.936
_cell_angle_alpha 90.00
_cell_angle_beta 90.00
_cell_angle_gamma 90.00
loop_
_symmetry_equiv_pos_as_xyz
'x,y,z'
loop_
_atom_site_label
_atom_site_type_symbol
_atom_site_fract_x
_atom_site_fract_y
_atom_site_fract_z
_atom_site_occupancy
Cl1 Cl 0.778 0.602 0.060 1
Cl2 Cl 0.222 0.398 0.560 1
Cl3 Cl 0.398 0.778 0.310 1
Cl4 Cl 0.602 0.222 0.810 1
Cl5 Cl 0.589 0.698 0.189 1
Cl6 Cl 0.411 0.302 0.689 1
Cl7 Cl 0.302 0.589 0.439 1
Cl8 Cl 0.698 0.411 0.939 1
Cl9 Cl 0.736 0.176 0.186 1
Cl10 Cl 0.264 0.824 0.686 1
Cl11 Cl 0.824 0.736 0.436 1
Cl12 Cl 0.176 0.264 0.936 1
Cl13 Cl 0.931 0.101 0.045 1
Cl14 Cl 0.069 0.899 0.545 1
Cl15 Cl 0.899 0.931 0.295 1
Cl16 Cl 0.101 0.069 0.795 1
Cl17 Cl 0.085 0.511 0.204 1
Cl18 Cl 0.915 0.489 0.704 1
Cl19 Cl 0.489 0.085 0.454 1
Cl20 Cl 0.511 0.915 0.954 1
Cl21 Cl 0.265 0.760 0.071 1
Cl22 Cl 0.735 0.240 0.571 1
Cl23 Cl 0.240 0.265 0.321 1
Cl24 Cl 0.760 0.735 0.821 1
Cl25 Cl 0.196 0.050 0.193 1
Cl26 Cl 0.804 0.950 0.693 1
Cl27 Cl 0.950 0.196 0.443 1
Cl28 Cl 0.050 0.804 0.943 1
Cl29 Cl 0.387 0.222 0.056 1
Cl30 Cl 0.613 0.778 0.556 1
Cl31 Cl 0.778 0.387 0.306 1
Cl32 Cl 0.222 0.613 0.806 1
I1 I 0.763 0.862 0.121 1
I2 I 0.237 0.138 0.621 1
I3 I 0.138 0.763 0.371 1
I4 I 0.862 0.237 0.871 1
Sb1 Sb 0.234 0.993 0.002 1
Sb2 Sb 0.766 0.007 0.502 1
Sb3 Sb 0.007 0.234 0.252 1
Sb4 Sb 0.993 0.766 0.752 1
```

## Properties
Calculated density (Mg/m³): 2.91
Symmetry: P4_1, No. 76
Total DFT energy (no corrections) (eV per atom): -14.31
Formation energy (no corrections) (meV per atom): -525

=====

(4)
CrIr2W at its PBEsol-relaxed geometry, computed with SCAN.

```
data_CrIr2W
_chemical_formula_sum 'Cr1 Ir2 W1'
_symmetry_space_group_name_H-M 'P 1'
_symmetry_Int_Tables_number 1
_cell_length_a 2.720
_cell_length_b 4.311
_cell_length_c 4.708
_cell_angle_alpha 90.00
_cell_angle_beta 90.00
_cell_angle_gamma 90.00
loop_
_symmetry_equiv_pos_as_xyz
'x,y,z'
loop_
_atom_site_label
_atom_site_type_symbol
_atom_site_fract_x
_atom_site_fract_y
_atom_site_fract_z
_atom_site_occupancy
Cr1 Cr 0.500 0.500 0.202 1
Ir1 Ir 0.000 0.000 0.057 1
Ir2 Ir 0.000 0.500 0.703 1
W1 W 0.500 0.000 0.539 1
```

## Properties
Calculated density (Mg/m³): 18.65
E above lowest polymorph (meV/atom): 53.3
Symmetry: Pmm2, No. 25
Formation energy (meV/atom): -307
Total DFT energy (no corrections) (eV per atom): -57.87

=====

(5)
Zn2Ag2Ge at its PBEsol-relaxed geometry, computed with SCAN.

```
data_Zn2Ag2Ge
_chemical_formula_sum 'Zn2 Ag2 Ge1'
_symmetry_space_group_name_H-M 'P 1'
_symmetry_Int_Tables_number 1
_cell_length_a 3.520
_cell_length_b 3.520
_cell_length_c 7.264
_cell_angle_alpha 104.02
_cell_angle_beta 104.02
_cell_angle_gamma 90.00
loop_
_symmetry_equiv_pos_as_xyz
'x,y,z'
loop_
_atom_site_label
_atom_site_type_symbol
_atom_site_fract_x
_atom_site_fract_y
_atom_site_fract_z
_atom_site_occupancy
Ge1 Ge 0.000 0.000 0.000 1
Zn1 Zn 0.250 0.750 0.500 1
Zn2 Zn 0.750 0.250 0.500 1
Ag1 Ag 0.398 0.398 0.795 1
Ag2 Ag 0.602 0.602 0.205 1
```

## Properties
Calculated density (Mg/m³): 8.23
Symmetry: I4/mmm, No. 139
Formation energy (meV/atom): 173
Total DFT energy (no corrections) (eV per atom): -21.60

=====

(6)
LaNiPt3 at its PBEsol-relaxed geometry, computed with SCAN.

```
data_LaNiPt3
_chemical_formula_sum 'La1 Ni1 Pt3'
_symmetry_space_group_name_H-M 'P 1'
_symmetry_Int_Tables_number 1
_cell_length_a 4.597
_cell_length_b 4.597
_cell_length_c 4.597
_cell_angle_alpha 90.00
_cell_angle_beta 90.00
_cell_angle_gamma 90.00
loop_
_symmetry_equiv_pos_as_xyz
'x,y,z'
loop_
_atom_site_label
_atom_site_type_symbol
_atom_site_fract_x
_atom_site_fract_y
_atom_site_fract_z
_atom_site_occupancy
Ni1 Ni 0.000 0.000 0.000 1
Pt1 Pt 0.000 0.500 0.000 1
Pt2 Pt 0.000 0.000 0.500 1
Pt3 Pt 0.500 0.000 0.000 1
La1 La 0.500 0.500 0.500 1
```

## Properties
Calculated density (Mg/m³): 13.38
Symmetry: Pm-3m, No. 221
Formation energy (meV/atom): -253
Total DFT energy (no corrections) (eV per atom): -54.22

=====

(7)
LaHfAg2 at its PBEsol-relaxed geometry, computed with SCAN.

```
data_LaHfAg2
_chemical_formula_sum 'La1 Hf1 Ag2'
_symmetry_space_group_name_H-M 'P 1'
_symmetry_Int_Tables_number 1
_cell_length_a 5.029
_cell_length_b 5.029
_cell_length_c 5.029
_cell_angle_alpha 60.00
_cell_angle_beta 60.00
_cell_angle_gamma 60.00
loop_
_symmetry_equiv_pos_as_xyz
'x,y,z'
loop_
_atom_site_label
_atom_site_type_symbol
_atom_site_fract_x
_atom_site_fract_y
_atom_site_fract_z
_atom_site_occupancy
Hf1 Hf 0.500 0.500 0.500 1
Ag1 Ag 0.250 0.250 0.250 1
Ag2 Ag 0.750 0.750 0.750 1
La1 La 0.000 0.000 0.000 1
```

## Properties
Calculated density (Mg/m³): 9.84
Symmetry: Fm-3m, No. 225
Formation energy (meV/atom): 62
Total DFT energy (no corrections) (eV per atom): -42.07

=====

(8)
CrCdAg at its PBEsol-relaxed geometry, computed with SCAN.

```
data_CrCdAg
_chemical_formula_sum 'Cr1 Cd1 Ag1'
_symmetry_space_group_name_H-M 'P 1'
_symmetry_Int_Tables_number 1
_cell_length_a 2.866
_cell_length_b 4.587
_cell_length_c 4.587
_cell_angle_alpha 120.00
_cell_angle_beta 90.00
_cell_angle_gamma 90.00
loop_
_symmetry_equiv_pos_as_xyz
'x,y,z'
loop_
_atom_site_label
_atom_site_type_symbol
_atom_site_fract_x
_atom_site_fract_y
_atom_site_fract_z
_atom_site_occupancy
Ag1 Ag 0.996 0.000 0.000 1
Cd1 Cd 0.691 0.667 0.333 1
Cr1 Cr 0.313 0.333 0.667 1
```

## Properties
Calculated density (Mg/m³): 8.66
E above lowest polymorph (meV/atom): 25.7
Symmetry: P3m1, No. 156
Formation energy (meV/atom): 166
Total DFT energy (no corrections) (eV per atom): -26.56

=====

(9)
GeBiO2 at its PBEsol-relaxed geometry, computed with SCAN.

```
data_GeBiO2
_chemical_formula_sum 'Ge2 Bi2 O4'
_symmetry_space_group_name_H-M 'P 1'
_symmetry_Int_Tables_number 1
_cell_length_a 5.702
_cell_length_b 5.764
_cell_length_c 5.702
_cell_angle_alpha 60.35
_cell_angle_beta 90.00
_cell_angle_gamma 119.65
loop_
_symmetry_equiv_pos_as_xyz
'x,y,z'
loop_
_atom_site_label
_atom_site_type_symbol
_atom_site_fract_x
_atom_site_fract_y
_atom_site_fract_z
_atom_site_occupancy
Ge1 Ge 0.250 0.500 0.250 1
Ge2 Ge 0.500 0.000 0.500 1
Bi1 Bi 0.750 0.500 0.750 1
Bi2 Bi 0.000 0.000 0.000 1
O1 O 0.419 0.750 0.375 1
O2 O 0.331 0.750 0.875 1
O3 O 0.875 0.250 0.419 1
O4 O 0.375 0.250 0.331 1
```

## Properties
Calculated density (Mg/m³): 7.78
E above lowest polymorph (meV/atom): 0.0
Symmetry: I-42d, No. 122
Total DFT energy (no corrections) (eV per atom): -28.34
Formation energy (no corrections) (meV per atom): -808

=====

(10)
CsKH2 at its PBEsol-relaxed geometry, computed with SCAN.

```
data_CsKH2
_chemical_formula_sum 'Cs2 K2 H4'
_symmetry_space_group_name_H-M 'P 1'
_symmetry_Int_Tables_number 1
_cell_length_a 6.653
_cell_length_b 6.653
_cell_length_c 6.653
_cell_angle_alpha 101.52
_cell_angle_beta 113.59
_cell_angle_gamma 113.59
loop_
_symmetry_equiv_pos_as_xyz
'x,y,z'
loop_
_atom_site_label
_atom_site_type_symbol
_atom_site_fract_x
_atom_site_fract_y
_atom_site_fract_z
_atom_site_occupancy
Cs1 Cs 0.000 0.000 0.000 1
Cs2 Cs 0.500 0.750 0.250 1
H1 H 0.962 0.587 0.125 1
H2 H 0.038 0.163 0.625 1
H3 H 0.538 0.375 0.413 1
H4 H 0.462 0.875 0.837 1
K1 K 0.000 0.500 0.500 1
K2 K 0.500 0.250 0.750 1
```

## Properties
Calculated density (Mg/m³): 2.59
Symmetry: I-42d, No. 122
Total DFT energy (no corrections) (eV per atom): -13.47

=====

(11)
ReTeIr4 at its PBEsol-relaxed geometry, computed with SCAN.

```
data_ReTeIr4
_chemical_formula_sum 'Re1 Te1 Ir4'
_symmetry_space_group_name_H-M 'P 1'
_symmetry_Int_Tables_number 1
_cell_length_a 5.166
_cell_length_b 5.166
_cell_length_c 5.166
_cell_angle_alpha 60.00
_cell_angle_beta 60.00
_cell_angle_gamma 60.00
loop_
_symmetry_equiv_pos_as_xyz
'x,y,z'
loop_
_atom_site_label
_atom_site_type_symbol
_atom_site_fract_x
_atom_site_fract_y
_atom_site_fract_z
_atom_site_occupancy
Ir1 Ir 0.376 0.376 0.376 1
Ir2 Ir 0.376 0.376 0.873 1
Ir3 Ir 0.873 0.376 0.376 1
Ir4 Ir 0.376 0.873 0.376 1
Re1 Re 0.750 0.750 0.750 1
Te1 Te 0.000 0.000 0.000 1
```

## Properties
Calculated density (Mg/m³): 18.44
Symmetry: F-43m, No. 216
Total DFT energy (no corrections) (eV per atom): -64.54
Formation energy (no corrections) (meV per atom): 913

=====

(12)
Te2Pd3 at its PBEsol-relaxed geometry, computed with SCAN.

```
data_Te2Pd3
_chemical_formula_sum 'Te4 Pd6'
_symmetry_space_group_name_H-M 'P 1'
_symmetry_Int_Tables_number 1
_cell_length_a 3.876
_cell_length_b 6.542
_cell_length_c 7.901
_cell_angle_alpha 90.00
_cell_angle_beta 90.00
_cell_angle_gamma 107.23
loop_
_symmetry_equiv_pos_as_xyz
'x,y,z'
loop_
_atom_site_label
_atom_site_type_symbol
_atom_site_fract_x
_atom_site_fract_y
_atom_site_fract_z
_atom_site_occupancy
Te1 Te 0.000 0.000 0.000 1
Te2 Te 0.000 0.000 0.500 1
Te3 Te 0.258 0.516 0.250 1
Te4 Te 0.742 0.484 0.750 1
Pd1 Pd 0.468 0.936 0.250 1
Pd2 Pd 0.532 0.064 0.750 1
Pd3 Pd 0.336 0.671 0.934 1
Pd4 Pd 0.664 0.329 0.066 1
Pd5 Pd 0.336 0.671 0.566 1
Pd6 Pd 0.664 0.329 0.434 1
```

## Properties
Calculated density (Mg/m³): 9.97
Symmetry: Cmcm, No. 63
Total DFT energy (no corrections) (eV per atom): -34.97
Formation energy (no corrections) (meV per atom): -405